# 1
Pr4Cd5Sn6 | GGA-PBE | relaxed

Values from the calculation:
Energy of formation from the pure elements: -11.03 kcal/mol of atoms

Cell lengths 4.758, 10.682, 17.033 Å; angles 90.00, 90.00, 102.87 degrees
Fractional positions:
Sn1 0.560 0.120 0.356
Sn2 0.768 0.536 0.268
Sn3 0.565 0.130 0.629
Sn4 0.106 0.213 0.112
Sn5 0.431 0.861 0.416
Sn6 0.894 0.787 0.612
Sn7 0.774 0.547 0.977
Sn8 0.440 0.880 0.856
Sn9 0.569 0.139 0.916
Sn10 0.435 0.870 0.129
Sn11 0.232 0.464 0.768
Sn12 0.226 0.453 0.477
Pr1 0.023 0.047 0.497
Pr2 0.164 0.329 0.299
Pr3 0.977 0.953 0.997
Pr4 0.966 0.933 0.264
Pr5 0.034 0.067 0.764
Pr6 0.826 0.653 0.443
Pr7 0.836 0.671 0.799
Pr8 0.174 0.347 0.943
Cd1 0.566 0.132 0.190
Cd2 0.847 0.695 0.126
Cd3 0.303 0.605 0.620
Cd4 0.348 0.696 0.983
Cd5 0.346 0.691 0.277
Cd6 0.652 0.304 0.483
Cd7 0.153 0.305 0.626
Cd8 0.434 0.868 0.690
Cd9 0.654 0.309 0.777
Cd10 0.697 0.395 0.120

# 2
Pr3Cd4Sn2 | GGA-PBE | relaxed

Values from the calculation:
Energy of formation from the pure elements: -11.61 kcal/mol of atoms

Cell lengths 4.820, 6.365, 9.425 Å; angles 110.24, 90.00, 112.25 degrees
Fractional positions:
Cd1 0.011 0.022 0.355
Cd2 0.249 0.498 0.922
Cd3 0.751 0.502 0.078
Cd4 0.989 0.978 0.645
Pr1 0.678 0.355 0.650
Pr2 0.322 0.645 0.350
Pr3 0.000 0.000 0.000
Sn1 0.611 0.222 0.275
Sn2 0.389 0.778 0.725

# 3
Pr6CdSn | GGA-PBE | relaxed

Values from the calculation:
Energy of formation from the pure elements: -6.52 kcal/mol of atoms

Cell lengths 5.020, 5.020, 9.961 Å; angles 90.00, 90.00, 90.00 degrees
Fractional positions:
Pr1 0.500 0.000 0.247
Pr2 0.500 0.500 0.000
Pr3 0.000 0.500 0.753
Pr4 0.500 0.500 0.500
Pr5 0.000 0.500 0.247
Pr6 0.500 0.000 0.753
Sn1 0.000 0.000 0.000
Cd1 0.000 0.000 0.500

# 4
PrCd2Sn2 | GGA-PBE | relaxed

Values from the calculation:
Energy of formation from the pure elements: -9.27 kcal/mol of atoms

Cell lengths 4.514, 4.554, 12.665 Å; angles 90.00, 100.27, 90.00 degrees
Fractional positions:
Cd1 0.956 0.250 0.912
Cd2 0.541 0.250 0.083
Cd3 0.459 0.750 0.917
Cd4 0.044 0.750 0.088
Pr1 0.648 0.750 0.297
Pr2 0.352 0.250 0.703
Sn1 0.130 0.250 0.259
Sn2 0.870 0.750 0.741
Sn3 0.251 0.750 0.501
Sn4 0.749 0.250 0.499

# 5
Pr4Cd2Sn | GGA-PBE | relaxed

Values from the calculation:
Energy of formation from the pure elements: -6.31 kcal/mol of atoms

Cell lengths 5.418, 5.418, 9.312 Å; angles 73.09, 73.09, 60.00 degrees
Fractional positions:
Sn1 0.000 0.000 0.000
Pr1 0.871 0.871 0.386
Pr2 0.619 0.619 0.142
Pr3 0.381 0.381 0.858
Pr4 0.129 0.129 0.614
Cd1 0.749 0.749 0.752
Cd2 0.251 0.251 0.248

# 6
PrCd11Sn | GGA-PBE | relaxed

Values from the calculation:
Energy of formation from the pure elements: -1.93 kcal/mol of atoms

Cell lengths 6.346, 7.651, 7.753 Å; angles 80.05, 65.84, 65.03 degrees
Fractional positions:
Cd1 0.273 0.211 0.215
Cd2 0.488 0.211 0.785
Cd3 0.727 0.789 0.785
Cd4 0.000 0.000 0.500
Cd5 0.990 0.650 0.354
Cd6 0.656 0.350 0.354
Cd7 0.512 0.789 0.215
Cd8 0.344 0.650 0.646
Cd9 0.500 0.000 0.500
Cd10 0.010 0.350 0.646
Cd11 0.000 0.500 0.000
Sn1 0.500 0.500 0.000
Pr1 0.000 0.000 0.000

# 7
PrCd4Sn2 | GGA-PBE | relaxed

Values from the calculation:
Energy of formation from the pure elements: -4.33 kcal/mol of atoms

Cell lengths 4.458, 4.475, 9.314 Å; angles 103.90, 90.00, 90.00 degrees
Fractional positions:
Cd1 0.000 0.691 0.382
Cd2 0.000 0.309 0.618
Cd3 0.500 0.812 0.625
Cd4 0.500 0.188 0.375
Sn1 0.500 0.580 0.159
Sn2 0.500 0.420 0.841
Pr1 0.000 0.000 0.000

# 8
Pr12CdSn3 | GGA-PBE | relaxed

Values from the calculation:
Energy of formation from the pure elements: -8.52 kcal/mol of atoms

Cell lengths 5.008, 5.008, 19.936 Å; angles 90.00, 90.00, 90.00 degrees
Fractional positions:
Pr1 0.500 0.000 0.873
Pr2 0.000 0.500 0.873
Pr3 0.000 0.500 0.127
Pr4 0.500 0.000 0.376
Pr5 0.500 0.500 0.749
Pr6 0.500 0.500 0.251
Pr7 0.000 0.500 0.376
Pr8 0.500 0.500 0.500
Pr9 0.500 0.000 0.127
Pr10 0.000 0.500 0.624
Pr11 0.500 0.000 0.624
Pr12 0.500 0.500 0.000
Sn1 0.000 0.000 0.500
Sn2 0.000 0.000 0.750
Sn3 0.000 0.000 0.250
Cd1 0.000 0.000 0.000

> Among the records above, which one has the highest energy of formation from the pure elements?

PrCd11Sn

> Among the records above, which one has the highest energy of formation from the pure elements?

PrCd11Sn